Computed, not measured: a relaxed structure of NdB2 at the GGA-PBE level of DFT.

E in eV/atom: -3.11
Space group: Fd-3m
Size of the total moment in μB per atom: 1.42

a = 8.265 Å, b = 8.265 Å, c = 8.265 Å
α = 60.00°, β = 60.00°, γ = 60.00°
Last column: magnetic moment on the atom in μB.
Fractional positions:
B 0.875 0.375 0.375  0.75
B 0.375 0.875 0.375  0.61
B 0.375 0.375 0.875  0.57
B 0.375 0.375 0.375  0.59
Nd 0.250 0.250 0.250  0.81
Nd 0.500 0.500 0.500  0.81